Computed, not measured: crystalline NdTm2Pu3Te6 at its relaxed geometry at the PBE level of DFT.

abc: 19.2480 4.3741 8.8505
angles: 90.00 104.09 90.00
Closest atoms and distances in Å follow each position.
Space group C2/m (No. 12)
Symmetry-distinct sites (fractional):
Nd 0.0000 0.0000 0.0000  6 Te 3.14-3.17
Tm 0.1660 0.5000 0.3309  6 Te 3.03-3.08
Pu 0.0000 0.0000 0.5000  6 Te 3.08-3.16
Pu 0.1633 0.5000 0.8326  6 Te 3.12-3.17
Te 0.0036 0.5000 0.2565  1 Tm 3.03, 3 Pu 3.08-3.12, 2 Nd 3.14
Te 0.1693 0.0000 0.5772  3 Tm 3.08, 3 Pu 3.16-3.17
Te 0.1697 0.0000 0.0914  2 Tm 3.06, 3 Pu 3.12-3.15, 1 Nd 3.17

Output
Magnetic moment = 35.853 μB/cell
ΔE_f (raw) = -1.198 eV/atom